No. 1
This record from the Alexandria database describes AcHgSe4 after structural relaxation. The functional is GGA-PBE.

Unit cell a=5.977 b=5.977 c=5.977 alpha=60.00 beta=60.00 gamma=60.00
Element x y z (fractional)
Ac1 0.000 0.000 0.000
Hg1 0.750 0.750 0.750
Se1 0.375 0.375 0.375
Se2 0.375 0.375 0.875
Se3 0.375 0.875 0.375
Se4 0.875 0.375 0.375

Summary:
symmetry: F-43m, No. 216
final energy: -3.49 eV/atom
D(E_F): 4.68 states/eV/f.u.

---

No. 2
This record from the Alexandria database describes Ac5HgSe8 after structural relaxation. The functional is GGA-PBE.

Unit cell a=8.154 b=8.154 c=8.154 alpha=109.56 beta=109.56 gamma=109.29
Element x y z (fractional)
Ac1 0.000 0.000 0.000
Ac2 0.133 0.516 0.881
Ac3 0.484 0.364 0.616
Ac4 0.636 0.252 0.119
Ac5 0.748 0.867 0.384
Hg1 0.250 0.750 0.500
Se1 0.015 0.253 0.398
Se2 0.227 0.126 0.761
Se3 0.365 0.466 0.239
Se4 0.383 0.985 0.238
Se5 0.534 0.773 0.899
Se6 0.747 0.145 0.762
Se7 0.855 0.617 0.602
Se8 0.874 0.635 0.101

Summary:
symmetry: I-4, No. 82
final energy: -5.27 eV/atom
D(E_F): 3.68 states/eV/f.u.

---

No. 3
This record from the Alexandria database describes Ac2HgSe3 after structural relaxation. The functional is GGA-PBE.

Unit cell a=9.437 b=9.437 c=9.437 alpha=155.25 beta=148.42 gamma=40.53
Element x y z (fractional)
Ac1 0.145 0.145 0.000
Ac2 0.855 0.855 0.000
Hg1 0.500 0.500 0.000
Se1 0.000 0.500 0.500
Se2 0.320 0.320 0.000
Se3 0.680 0.680 0.000

Summary:
symmetry: Immm, No. 71
final energy: -4.56 eV/atom
D(E_F): 1.41 states/eV/f.u.

---

No. 4
This record from the Alexandria database describes Ac3HgSe2 after structural relaxation. The functional is GGA-PBE.

Unit cell a=6.450 b=13.659 c=9.182 alpha=90.00 beta=90.12 gamma=90.00
Element x y z (fractional)
Ac1 0.248 0.083 0.129
Ac2 0.248 0.417 0.629
Ac3 0.250 0.089 0.617
Ac4 0.250 0.411 0.117
Ac5 0.252 0.748 0.628
Ac6 0.252 0.752 0.128
Ac7 0.748 0.248 0.872
Ac8 0.748 0.252 0.372
Ac9 0.750 0.589 0.883
Ac10 0.750 0.911 0.383
Ac11 0.752 0.583 0.371
Ac12 0.752 0.917 0.871
Hg1 0.253 0.582 0.371
Hg2 0.253 0.918 0.871
Hg3 0.747 0.082 0.129
Hg4 0.747 0.418 0.629
Se1 0.248 0.248 0.872
Se2 0.248 0.252 0.372
Se3 0.250 0.584 0.881
Se4 0.250 0.916 0.381
Se5 0.750 0.084 0.619
Se6 0.750 0.416 0.119
Se7 0.752 0.748 0.628
Se8 0.752 0.752 0.128

Summary:
symmetry: P2_1/c, No. 14
final energy: -4.64 eV/atom
D(E_F): 4.37 states/eV/f.u.

---

> Among the records above, which one has the highest D(E_F)?

AcHgSe4

---

> D(E_F) of number 3 (Ac2HgSe3)?

1.41 states/eV/f.u.

---

> Look up the D(E_F) of the second one.

3.68 states/eV/f.u.